Density functional theory data (PBE) for crystalline Rb2Na3TeO6 at its relaxed geometry.

Computed properties:
- uncorrected formation energy (eV per atom) = -1.3302

Lattice parameters (Å, degrees): 6.4994 12.1212 5.8545 90.00 112.86 90.00
Space group C2/m (No. 12)
One atom of each set of equivalent atoms:
Rb (0.0000, 0.1748, 0.0000) [4 per cell]
Na (0.0000, 0.0000, 0.5000) [2 per cell]
Na (0.0000, 0.3781, 0.5000) [4 per cell]
Te (0.0000, 0.5000, 0.0000) [2 per cell]
O (0.1884, 0.3863, 0.2292) [8 per cell]
O (0.1936, 0.5000, 0.8136) [4 per cell]


Density functional theory data (PBE) for crystalline Pu2Zr8Sc3 at its relaxed geometry.

Computed properties:
- E_form (kJ per mole of atoms) = 20.4

Lattice parameters (Å, degrees): 17.2743 6.1727 5.7777 90.00 90.32 90.00
Space group C2/m (No. 12)
One atom of each set of equivalent atoms:
Pu (0.2068, 0.0000, 0.3225) [4 per cell]
Zr (0.0666, 0.0000, 0.1326) [4 per cell]
Zr (0.1587, 0.2515, 0.7762) [8 per cell]
Zr (0.1624, 0.5000, 0.2714) [4 per cell]
Sc (0.0000, 0.2658, 0.5000) [4 per cell]
Sc (0.0000, 0.5000, 0.0000) [2 per cell]


Density functional theory data (PBE) for crystalline LiTiCd3 at its relaxed geometry.

Computed properties:
- E_form (kJ per mole of atoms) = 37.3

Lattice parameters (Å, degrees): 4.6229 4.6229 4.6229 90.00 90.00 90.00
Space group Pm-3m (No. 221)
One atom of each set of equivalent atoms:
Li (0.0000, 0.0000, 0.0000) [1 per cell]
Ti (0.5000, 0.5000, 0.5000) [1 per cell]
Cd (0.0000, 0.0000, 0.5000) [3 per cell]


Density functional theory data (PBE) for crystalline Ba2Cd4Ga3Pb at its relaxed geometry.

Computed properties:
- E_form (kJ per mole of atoms) = -30.7

Lattice parameters (Å, degrees): 4.8285 4.8285 11.8543 90.00 90.00 90.00
Space group P-4m2 (No. 115)
One atom of each set of equivalent atoms:
Ba (0.0000, 0.5000, 0.2414) [2 per cell]
Cd (0.0000, 0.0000, 0.0000) [1 per cell]
Cd (0.0000, 0.5000, 0.6463) [2 per cell]
Cd (0.5000, 0.5000, 0.0000) [1 per cell]
Ga (0.0000, 0.5000, 0.8748) [2 per cell]
Ga (0.5000, 0.5000, 0.5000) [1 per cell]
Pb (0.0000, 0.0000, 0.5000) [1 per cell]